w.
Here is crystalline AlHg2Br at its relaxed geometry from Alexandria. Energies are from GGA-PBE.

Cell: 6.871 6.871 5.012 Å, 68.61 68.61 29.63°
Fractional positions:
Br 0.750 0.750 0.750
Al 0.250 0.250 0.250
Hg 0.950 0.950 0.051
Hg 0.550 0.550 0.449

Results
Symmetry ... Immm (71)
Mass density ... 7.8 Mg/m³
Total magnetization ... 0.00 μB per formula unit
Crystal system ... orthorhombic

---

x.
Here is crystalline AlHg2Br at its relaxed geometry from Alexandria. Energies are from GGA-PBE.

Cell: 5.388 5.388 5.388 Å, 60.00 60.00 60.00°
Fractional positions:
Hg 0.750 0.750 0.750
Hg 0.250 0.250 0.250
Br 0.500 0.500 0.500
Al 0.000 0.000 0.000

Results
Symmetry ... Fm-3m (225)
Mass density ... 7.6 Mg/m³
Total magnetization ... 0.00 μB per formula unit
Crystal system ... cubic

---

Quick one: least stable of them? x

---

w.
Here is crystalline AlHg2Br at its relaxed geometry from Alexandria. Energies are from GGA-PBE.

Cell: 3.723 3.723 7.982 Å, 90.00 90.00 110.24°
Fractional positions:
Al 0.500 0.500 0.250
Br 0.500 0.500 0.750
Hg 0.000 0.000 0.025
Hg 0.000 0.000 0.475

Results
Symmetry ... Cmmm (65)
Mass density ... 8.1 Mg/m³
Total magnetization ... 0.00 μB per formula unit
Crystal system ... orthorhombic

---

x.
Here is crystalline AlHg2Br at its relaxed geometry from Alexandria. Energies are from GGA-PBE.

Cell: 3.527 3.527 10.675 Å, 90.00 90.00 119.77°
Fractional positions:
Hg 0.000 0.000 0.024
Hg 0.500 0.500 0.288
Al 0.000 0.000 0.506
Br 0.500 0.500 0.682

Results
Symmetry ... Cmm2 (35)
Mass density ... 7.3 Mg/m³
Total magnetization ... 0.00 μB per formula unit
Crystal system ... orthorhombic

---

Quick one: least stable of them? w